DFT (GGA+U) results for Sc2VPF after structural relaxation.

a = 4.9976 Å, b = 4.9976 Å, c = 4.5896 Å
α = 90.00°, β = 90.00°, γ = 90.00°
With the nearest neighbours (Å) after each atom.
Space group P4/mmm (No. 123)
Unique sites:
Sc (0.0000, 0.5000, 0.0000) [2 per cell]  2 P 2.50
V (0.0000, 0.0000, 0.5000) [1 per cell]  2 P 2.29
P (0.0000, 0.0000, 0.0000) [1 per cell]  2 V 2.29, 4 Sc 2.50
F (0.5000, 0.5000, 0.5000) [1 per cell]  8 Sc 3.39, 4 V 3.53

## Properties
- Density: 2.76 g/cm3
- DFT total energy: -28.601 eV for the cell shown
- DOS at the Fermi energy: 1.2022 states/eV/atom